[1]
A relaxed HfAg3O crystal, computed with PBE.

a = 5.2883 Å, b = 5.2883 Å, c = 5.2883 Å
α = 90.00°, β = 90.00°, γ = 90.00°
Closest atoms and distances in Å follow each position.
Space group Pm-3m (No. 221)
Inequivalent atoms, fractional coordinates:
Hf (0.0000, 0.0000, 0.0000) [1 per cell]  6 Ag 2.64
Ag (0.0000, 0.0000, 0.5000) [3 per cell]  2 Hf 2.64
O (0.5000, 0.5000, 0.5000) [1 per cell]  12 Ag 3.74

## Properties
**Total magnetic moment**: 0.00 μB/cell
**Crystal system**: cubic
**Formation energy (no corrections)**: 1.728 eV per atom
**Theoretical density**: 5.82 g/cm³
**Total energy**: -2.965 eV per atom



[2]
A relaxed HfAgO2 crystal, computed with PBE.

a = 5.7439 Å, b = 5.7439 Å, c = 5.7439 Å
α = 90.00°, β = 90.00°, γ = 90.00°
Closest atoms and distances in Å follow each position.
Space group Fm-3m (No. 225)
Inequivalent atoms, fractional coordinates:
Hf (0.0000, 0.0000, 0.0000) [4 per cell]  8 O 2.49
Ag (0.0000, 0.0000, 0.5000) [4 per cell]  8 O 2.49
O (0.2500, 0.2500, 0.2500) [8 per cell]  4 Hf 2.49, 4 Ag 2.49

## Properties
**Total magnetic moment**: 3.58 μB/cell
**Crystal system**: cubic
**Formation energy (no corrections)**: -1.121 eV per atom
**Theoretical density**: 11.16 g/cm³
**Total energy**: -6.801 eV per atom



[3]
A relaxed HfAg2OsO crystal, computed with PBE.

a = 5.0027 Å, b = 5.0027 Å, c = 4.8568 Å
α = 90.00°, β = 90.00°, γ = 90.00°
Closest atoms and distances in Å follow each position.
Space group P4/mmm (No. 123)
Inequivalent atoms, fractional coordinates:
Hf (0.0000, 0.0000, 0.0000) [1 per cell]  2 Os 2.43
Ag (0.0000, 0.5000, 0.5000) [2 per cell]  2 Os 2.50
Os (0.0000, 0.0000, 0.5000) [1 per cell]  2 Hf 2.43, 4 Ag 2.50
O (0.5000, 0.5000, 0.0000) [1 per cell]  8 Ag 3.49, 4 Hf 3.54

## Properties
**Total magnetic moment**: 0.15 μB/cell
**Crystal system**: tetragonal
**Formation energy (no corrections)**: 1.382 eV per atom
**Theoretical density**: 8.20 g/cm³
**Total energy**: -4.987 eV per atom



[4]
A relaxed HfAgP2O crystal, computed with PBE.

a = 4.7330 Å, b = 4.7330 Å, c = 3.9458 Å
α = 90.00°, β = 90.00°, γ = 90.00°
Closest atoms and distances in Å follow each position.
Space group P4/mmm (No. 123)
Inequivalent atoms, fractional coordinates:
Hf (0.0000, 0.0000, 0.0000) [1 per cell]  8 P 3.08, 4 O 3.35
Ag (0.5000, 0.5000, 0.5000) [1 per cell]  2 O 1.97
P (0.0000, 0.5000, 0.5000) [2 per cell]  2 Ag 2.37
O (0.5000, 0.5000, 0.0000) [1 per cell]  2 Ag 1.97

## Properties
**Total magnetic moment**: 0.00 μB/cell
**Crystal system**: tetragonal
**Formation energy (no corrections)**: 0.444 eV per atom
**Theoretical density**: 6.84 g/cm³
**Total energy**: -5.272 eV per atom



[5]
A relaxed HfAgPO6 crystal, computed with PBE.

a = 5.1530 Å, b = 5.1530 Å, c = 4.5916 Å
α = 90.00°, β = 90.00°, γ = 120.00°
Closest atoms and distances in Å follow each position.
Space group P312 (No. 149)
Inequivalent atoms, fractional coordinates:
Hf (0.0000, 0.0000, 0.0000) [1 per cell]  6 O 2.06
Ag (0.3333, 0.6667, 0.5000) [1 per cell]  6 O 2.35
P (0.6667, 0.3333, 0.0000) [1 per cell]  6 O 1.72
O (0.3820, 0.0652, 0.7900) [6 per cell]  1 P 1.72

## Properties
**Total magnetic moment**: 0.00 μB/cell
**Crystal system**: trigonal
**Formation energy (no corrections)**: -1.699 eV per atom
**Theoretical density**: 6.50 g/cm³
**Total energy**: -7.028 eV per atom



[6]
A relaxed HfAgP2O crystal, computed with PBE.

a = 5.1927 Å, b = 5.1927 Å, c = 3.8909 Å
α = 90.00°, β = 90.00°, γ = 90.00°
Closest atoms and distances in Å follow each position.
Space group P4/mmm (No. 123)
Inequivalent atoms, fractional coordinates:
Hf (0.0000, 0.0000, 0.0000) [1 per cell]  2 O 1.95
Ag (0.5000, 0.5000, 0.5000) [1 per cell]  8 P 3.24
P (0.0000, 0.5000, 0.0000) [2 per cell]  2 Hf 2.60
O (0.0000, 0.0000, 0.5000) [1 per cell]  2 Hf 1.95

## Properties
**Total magnetic moment**: 0.00 μB/cell
**Crystal system**: tetragonal
**Formation energy (no corrections)**: -0.369 eV per atom
**Theoretical density**: 5.77 g/cm³
**Total energy**: -6.086 eV per atom



[7]
A relaxed HfPaAgO6 crystal, computed with PBE.

a = 5.3931 Å, b = 5.3931 Å, c = 4.9325 Å
α = 90.00°, β = 90.00°, γ = 120.00°
Closest atoms and distances in Å follow each position.
Space group P312 (No. 149)
Inequivalent atoms, fractional coordinates:
Hf (0.0000, 0.0000, 0.0000) [1 per cell]  6 O 2.10
Pa (0.3333, 0.6667, 0.5000) [1 per cell]  6 O 2.20
Ag (0.6667, 0.3333, 0.0000) [1 per cell]  6 O 2.23
O (0.0121, 0.3261, 0.2405) [6 per cell]  1 Hf 2.10, 1 Pa 2.20, 1 Ag 2.23

## Properties
**Total magnetic moment**: 2.03 μB/cell
**Crystal system**: trigonal
**Formation energy (no corrections)**: -2.431 eV per atom
**Theoretical density**: 8.20 g/cm³
**Total energy**: -8.214 eV per atom



[8]
A relaxed HfPaAg2O8 crystal, computed with PBE.

a = 6.9812 Å, b = 6.9812 Å, c = 7.0283 Å
α = 90.00°, β = 90.00°, γ = 90.00°
Closest atoms and distances in Å follow each position.
Space group I-4m2 (No. 119)
Inequivalent atoms, fractional coordinates:
Hf (0.0000, 0.0000, 0.0000) [2 per cell]  8 O 2.17-2.18
Pa (0.0000, 0.5000, 0.7500) [2 per cell]  8 O 2.26-2.31
Ag (0.0000, 0.0000, 0.5000) [2 per cell]  4 O 2.11
Ag (0.0000, 0.5000, 0.2500) [2 per cell]  4 O 2.09
O (0.0000, 0.1768, 0.7441) [8 per cell]  1 Ag 2.11, 1 O 2.15, 1 Hf 2.18, 1 Pa 2.26
O (0.0000, 0.3107, 0.0192) [8 per cell]  1 Ag 2.09, 1 O 2.15, 1 Hf 2.17, 1 Pa 2.31

## Properties
**Total magnetic moment**: 0.00 μB/cell
**Crystal system**: tetragonal
**Formation energy (no corrections)**: -1.636 eV per atom
**Theoretical density**: 7.30 g/cm³
**Total energy**: -7.038 eV per atom



Repeat the fifth record exactly.
A relaxed HfAgPO6 crystal, computed with PBE.

a = 5.1530 Å, b = 5.1530 Å, c = 4.5916 Å
α = 90.00°, β = 90.00°, γ = 120.00°
Closest atoms and distances in Å follow each position.
Space group P312 (No. 149)
Inequivalent atoms, fractional coordinates:
Hf (0.0000, 0.0000, 0.0000) [1 per cell]  6 O 2.06
Ag (0.3333, 0.6667, 0.5000) [1 per cell]  6 O 2.35
P (0.6667, 0.3333, 0.0000) [1 per cell]  6 O 1.72
O (0.3820, 0.0652, 0.7900) [6 per cell]  1 P 1.72

## Properties
**Total magnetic moment**: 0.00 μB/cell
**Crystal system**: trigonal
**Formation energy (no corrections)**: -1.699 eV per atom
**Theoretical density**: 6.50 g/cm³
**Total energy**: -7.028 eV per atom



Which formula does entry 8 have?
HfPaAg2O8



Repeat the eighth record exactly.
A relaxed HfPaAg2O8 crystal, computed with PBE.

a = 6.9812 Å, b = 6.9812 Å, c = 7.0283 Å
α = 90.00°, β = 90.00°, γ = 90.00°
Closest atoms and distances in Å follow each position.
Space group I-4m2 (No. 119)
Inequivalent atoms, fractional coordinates:
Hf (0.0000, 0.0000, 0.0000) [2 per cell]  8 O 2.17-2.18
Pa (0.0000, 0.5000, 0.7500) [2 per cell]  8 O 2.26-2.31
Ag (0.0000, 0.0000, 0.5000) [2 per cell]  4 O 2.11
Ag (0.0000, 0.5000, 0.2500) [2 per cell]  4 O 2.09
O (0.0000, 0.1768, 0.7441) [8 per cell]  1 Ag 2.11, 1 O 2.15, 1 Hf 2.18, 1 Pa 2.26
O (0.0000, 0.3107, 0.0192) [8 per cell]  1 Ag 2.09, 1 O 2.15, 1 Hf 2.17, 1 Pa 2.31

## Properties
**Total magnetic moment**: 0.00 μB/cell
**Crystal system**: tetragonal
**Formation energy (no corrections)**: -1.636 eV per atom
**Theoretical density**: 7.30 g/cm³
**Total energy**: -7.038 eV per atom